# 1
## Si3Ni5 (PBE)

Data for Si3Ni5 after structural relaxation.

Output
Density, kg/m³: 7097
Polymorph energy (0 for the lowest one), eV/f.u.: 0.131
Fermi-level density of states, states/eV/cell: 3.235
Energy relative to the elements, uncorrected, eV per atom: -0.48
Total magnetic moment, μB per formula unit: 0.0
Calculated volume, Å³ per atom: 11.0

a b c (Å): 4.9061 4.9061 3.7154
angles (deg): 90.00 90.00 98.80
Fractional coordinates of all 8 atoms:
Si 0.2061 0.7939 0.5000
Si 0.5000 0.5000 0.0000
Si 0.7939 0.2061 0.5000
Ni 0.2970 0.2970 0.5000
Ni 0.0000 0.0000 0.0000
Ni 0.5000 0.0000 0.0000
Ni 0.7030 0.7030 0.5000
Ni 0.0000 0.5000 0.0000

***

# 2
## Si2Ni5 (PBE)

Data for Si2Ni5 after structural relaxation.

Output
Density, kg/m³: 7413
Polymorph energy (0 for the lowest one), eV/f.u.: 0.000
Fermi-level density of states, states/eV/cell: 8.164
Energy relative to the elements, uncorrected, eV per atom: -0.46
Total magnetic moment, μB per formula unit: 0.0
Calculated volume, Å³ per atom: 11.2

a b c (Å): 4.9130 5.7235 6.2625
angles (deg): 62.81 90.10 90.00
Fractional coordinates of all 14 atoms:
Ni 0.7496 0.7288 0.5425
Ni 0.2504 0.2712 0.4575
Ni 0.7500 0.4993 0.0000
Ni 0.2496 0.7286 0.5425
Ni 0.2500 0.5007 0.0000
Ni 0.9985 0.7477 0.1854
Ni 0.7504 0.2714 0.4575
Ni 0.4985 0.0670 0.1854
Ni 0.0015 0.2523 0.8146
Ni 0.5015 0.9330 0.8146
Si 0.4997 0.6493 0.2339
Si 0.5003 0.3507 0.7661
Si 0.9997 0.1167 0.2339
Si 0.0003 0.8833 0.7661

***

# 3
## SiNi5 (PBE)

Data for SiNi5 after structural relaxation.

Output
Density, kg/m³: 7352
Fermi-level density of states, states/eV/cell: 7.354
Energy relative to the elements, uncorrected, eV per atom: 0.19
Total magnetic moment, μB per formula unit: 1.2
Calculated volume, Å³ per atom: 12.1

a b c (Å): 4.5074 4.5074 4.1277
angles (deg): 90.00 90.00 120.00
Each line ends with the local moment (μB).
Fractional coordinates of all 6 atoms:
Ni 0.0000 0.5000 0.5000  0.31
Ni 0.5000 0.5000 0.5000  0.31
Ni 0.3333 0.6667 0.0000  0.18
Ni 0.5000 0.0000 0.5000  0.31
Ni 0.6667 0.3333 0.0000  0.18
Si 0.0000 0.0000 0.0000  0.00

***

# 4
## Si3Ni5 (PBE)

Data for Si3Ni5 after structural relaxation.

Output
Density, kg/m³: 6846
Polymorph energy (0 for the lowest one), eV/f.u.: 0.000
Fermi-level density of states, states/eV/cell: 8.573
Energy relative to the elements, uncorrected, eV per atom: -0.49
Total magnetic moment, μB per formula unit: 0.0
Calculated volume, Å³ per atom: 11.5

a b c (Å): 6.6970 6.6970 4.7175
angles (deg): 90.00 90.00 120.00
Fractional coordinates of all 16 atoms:
Ni 0.6667 0.3333 0.0000
Ni 0.2583 0.0000 0.2500
Ni 0.6667 0.3333 0.5000
Ni 0.3333 0.6667 0.5000
Ni 0.7417 0.0000 0.7500
Ni 0.7417 0.7417 0.2500
Ni 0.0000 0.2583 0.2500
Ni 0.3333 0.6667 0.0000
Ni 0.2583 0.2583 0.7500
Ni 0.0000 0.7417 0.7500
Si 0.6112 0.6112 0.7500
Si 0.6112 0.0000 0.2500
Si 0.0000 0.6112 0.2500
Si 0.3888 0.0000 0.7500
Si 0.0000 0.3888 0.7500
Si 0.3888 0.3888 0.2500

***

# 5
## SiNi3 (PBE)

Data for SiNi3 after structural relaxation.

Output
Density, kg/m³: 4435
Fermi-level density of states, states/eV/cell: 4.102
Energy relative to the elements, uncorrected, eV per atom: 0.83
Total magnetic moment, μB per formula unit: 0.0
Calculated volume, Å³ per atom: 19.1

a b c (Å): 4.2441 4.2441 4.2441
angles (deg): 90.00 90.00 90.00
Fractional coordinates of all 4 atoms:
Si 0.0000 0.0000 0.0000
Ni 0.5000 0.0000 0.0000
Ni 0.0000 0.5000 0.0000
Ni 0.0000 0.0000 0.5000

***

# 6
## Si4Ni3 (PBE)

Data for Si4Ni3 after structural relaxation.

Output
Density, kg/m³: 5640
Fermi-level density of states, states/eV/cell: 2.743
Energy relative to the elements, uncorrected, eV per atom: -0.24
Total magnetic moment, μB per formula unit: 0.0
Calculated volume, Å³ per atom: 12.1

a b c (Å): 8.4847 8.4847 8.4847
angles (deg): 158.10 158.10 31.17
Fractional coordinates of all 7 atoms:
Si 0.1496 0.1496 0.0000
Si 0.4301 0.4301 0.0000
Si 0.5699 0.5699 0.0000
Si 0.8504 0.8504 0.0000
Ni 0.0000 0.0000 0.0000
Ni 0.2926 0.2926 0.0000
Ni 0.7074 0.7074 0.0000

***

Which formula does entry 2 have?
Si2Ni5

***

Which of these has the highest total magnetic moment?
SiNi5

***

The highest calculated volume belongs to which entry?
SiNi3

***

Look up the calculated volume of the fifth one.
19.1 Å³ per atom